Entry from Alexandria via LeMat-Bulk: an optimized crystal structure of Sc2AlReC (PBE).

Structure (CIF):
```
data_Sc2AlReC
_space_group_name_H-M_alt 'P 1'
_space_group_IT_number 1
_space_group_name_Hall 'P 1'
_cell_length_a 4.5163
_cell_length_b 4.5163
_cell_length_c 3.9918
_cell_angle_alpha 90.00
_cell_angle_beta 90.00
_cell_angle_gamma 90.00
loop_
_atom_site_label
_atom_site_type_symbol
_atom_site_fract_x
_atom_site_fract_y
_atom_site_fract_z
_atom_site_occupancy
C1 C 0.0000 0.0000 0.0000 1
Al1 Al 0.5000 0.5000 0.5000 1
Re1 Re 0.0000 0.0000 0.5000 1
Sc1 Sc 0.0000 0.5000 0.0000 1
Sc2 Sc 0.5000 0.0000 0.0000 1
```

## Properties
ΔH_f (0 K) = -451.6 meV/atom